# 1
DFT (PBE-GGA) results for a relaxed structure of PuTcCl.

- Total moment: 4.927 μB per formula unit
- Uncorrected formation energy: -0.81 eV/f.u.

a = 13.6869 Å, b = 13.6869 Å, c = 13.6869 Å
α = 166.71°, β = 166.71°, γ = 18.84°
Closest atoms and distances in Å follow each position.
Atoms (fractional coordinates):
1 Pu 0.1175 0.1175 0.0000  4 Cl 2.89, 4 Tc 3.04, 4 Pu 3.17
2 Pu 0.8825 0.8825 0.0000  4 Cl 2.89, 4 Tc 3.04, 4 Pu 3.17
3 Tc 0.4586 0.4586 0.0000  1 Tc 2.24
4 Tc 0.5414 0.5414 0.0000  1 Tc 2.24
5 Cl 0.3151 0.3151 0.0000  4 Pu 2.89, 4 Cl 3.17
6 Cl 0.6849 0.6849 0.0000  4 Pu 2.89, 4 Cl 3.17

# 2
DFT (PBE-GGA) results for a relaxed structure of Cs2MgBrCl3.

- Total moment: 0.000 μB per formula unit
- Uncorrected formation energy: -13.10 eV/f.u.

a = 9.3524 Å, b = 9.3524 Å, c = 9.3524 Å
α = 147.84°, β = 146.25°, γ = 47.31°
Closest atoms and distances in Å follow each position.
Atoms (fractional coordinates):
1 Cs 0.1466 0.1466 0.0000  7 Cl 3.54-3.75, 2 Br 3.61
2 Cs 0.8534 0.8534 0.0000  7 Cl 3.54-3.75, 2 Br 3.61
3 Mg 0.5000 0.5000 0.0000  4 Cl 2.51-2.59, 2 Br 2.71
4 Br 0.0000 0.5000 0.5000  2 Mg 2.71
5 Cl 0.3535 0.3535 0.0000  1 Mg 2.51
6 Cl 0.5000 0.0000 0.5000  2 Mg 2.59
7 Cl 0.6465 0.6465 0.0000  1 Mg 2.51

# 3
DFT (PBE-GGA) results for a relaxed structure of Fe5B2Mo4.

- Formation energy: -0.009 eV per atom
- Total moment: 1.943 μB per formula unit

a = 5.9525 Å, b = 3.0162 Å, c = 7.3526 Å
α = 90.00°, β = 95.97°, γ = 90.00°
Closest atoms and distances in Å follow each position.
Atoms (fractional coordinates):
1 Fe 0.0000 0.0000 0.0000  4 Fe 2.36-2.39, 4 Mo 2.61
2 Fe 0.0473 0.0000 0.3229  1 B 2.31, 2 Fe 2.36-2.53, 2 Mo 2.58
3 Fe 0.3398 0.0000 0.8540  1 B 2.29, 2 Fe 2.39-2.53, 2 Mo 2.51
4 Fe 0.6602 0.0000 0.1460  1 B 2.29, 2 Fe 2.39-2.53, 2 Mo 2.51
5 Fe 0.9527 0.0000 0.6771  1 B 2.31, 2 Fe 2.36-2.53, 2 Mo 2.58
6 B 0.4356 0.0000 0.3804  1 B 1.84
7 B 0.5644 0.0000 0.6196  1 B 1.84
8 Mo 0.2700 0.5000 0.5618  4 B 2.30-2.32, 2 Fe 2.58
9 Mo 0.3238 0.5000 0.1523  2 B 2.30, 2 Fe 2.51
10 Mo 0.6762 0.5000 0.8477  2 B 2.30, 2 Fe 2.51
11 Mo 0.7300 0.5000 0.4382  4 B 2.30-2.32, 2 Fe 2.58